[1]
Material: Cd2Pd2N
Method: DFT, GGA-PBE
State: relaxed

Results
VASP energy, eV for the cell shown: -35.29

Cell: 6.1466 6.1466 4.4811 Å, 90.00 90.00 90.00°
Space group P4/mbm (No. 127)
Inequivalent atoms, fractional coordinates:
Cd 0.1614 0.3386 0.0000
Pd 0.1571 0.6571 0.5000
N 0.0000 0.0000 0.0000



[2]
Material: Cd2PdN2
Method: DFT, GGA-PBE
State: relaxed

Results
VASP energy, eV for the cell shown: -43.87

Cell: 6.0255 6.0255 5.2934 Å, 90.00 90.00 90.00°
Space group I4/mmm (No. 139)
Inequivalent atoms, fractional coordinates:
Cd 0.0000 0.5000 0.2500
Pd 0.0000 0.0000 0.0000
N 0.0000 0.0000 0.3904



[3]
Material: Cd3PdN
Method: DFT, GGA-PBE
State: relaxed

Results
VASP energy, eV for the cell shown: -14.33

Cell: 4.5329 4.5329 4.5329 Å, 90.00 90.00 90.00°
Space group Pm-3m (No. 221)
Inequivalent atoms, fractional coordinates:
Cd 0.0000 0.0000 0.5000
Pd 0.5000 0.5000 0.5000
N 0.0000 0.0000 0.0000



[4]
Material: Cd2Pd2N
Method: DFT, GGA-PBE
State: relaxed

Results
VASP energy, eV for the cell shown: -33.12

Cell: 3.5818 3.5818 14.4289 Å, 90.00 90.00 90.00°
Space group I4/mmm (No. 139)
Inequivalent atoms, fractional coordinates:
Cd 0.0000 0.0000 0.0950
Pd 0.0000 0.5000 0.2500
N 0.0000 0.0000 0.5000



[5]
Material: Cd3PdN
Method: DFT, GGA-PBE
State: relaxed

Results
VASP energy, eV for the cell shown: -11.32

Cell: 5.2428 5.2428 5.2428 Å, 90.00 90.00 90.00°
Space group Pm-3m (No. 221)
Inequivalent atoms, fractional coordinates:
Cd 0.0000 0.0000 0.5000
Pd 0.0000 0.0000 0.0000
N 0.5000 0.5000 0.5000



[6]
Material: CdPd2N
Method: DFT, GGA-PBE
State: relaxed

Results
VASP energy, eV for the cell shown: -62.91

Cell: 6.2208 6.2208 6.2208 Å, 90.00 90.00 90.00°
Space group Fm-3m (No. 225)
Inequivalent atoms, fractional coordinates:
Cd 0.0000 0.0000 0.0000
Pd 0.2500 0.2500 0.2500
N 0.0000 0.0000 0.5000



[7]
Material: CdPd2N
Method: DFT, GGA-PBE
State: relaxed

Results
VASP energy, eV for the cell shown: -72.01

Cell: 5.0816 5.0816 11.8414 Å, 90.00 90.00 90.00°
Space group I-42d (No. 122)
Inequivalent atoms, fractional coordinates:
Cd 0.0000 0.0000 0.0000
Pd 0.0740 0.2500 0.6250
N 0.0000 0.0000 0.5000



[8]
Material: Cd2PdN2
Method: DFT, GGA-PBE
State: relaxed

Results
VASP energy, eV for the cell shown: -39.03

Cell: 6.2439 6.2439 3.5072 Å, 90.00 90.00 90.00°
Space group P4/mbm (No. 127)
Inequivalent atoms, fractional coordinates:
Cd 0.1554 0.3446 0.0000
Pd 0.0000 0.0000 0.5000
N 0.1689 0.6689 0.5000



[9]
Material: CdPdRh2N
Method: DFT, GGA-PBE
State: relaxed

Results
VASP energy, eV for the cell shown: -29.01

Cell: 4.0543 4.0543 4.3645 Å, 90.00 90.00 90.00°
Space group P4/mmm (No. 123)
Inequivalent atoms, fractional coordinates:
Cd 0.0000 0.0000 0.0000
Pd 0.5000 0.5000 0.0000
Rh 0.0000 0.5000 0.5000
N 0.5000 0.5000 0.5000



[10]
Material: CdPdSN2
Method: DFT, GGA-PBE
State: relaxed

Results
VASP energy, eV for the cell shown: -17.29

Cell: 4.1275 4.1275 5.5049 Å, 90.00 90.00 90.00°
Space group P4/mmm (No. 123)
Inequivalent atoms, fractional coordinates:
Cd 0.0000 0.0000 0.0000
Pd 0.5000 0.5000 0.5000
S 0.0000 0.0000 0.5000
N 0.0000 0.5000 0.0000



[11]
Material: CdPdSN2
Method: DFT, GGA-PBE
State: relaxed

Results
VASP energy, eV for the cell shown: -20.87

Cell: 3.9600 3.9600 5.3664 Å, 90.00 90.00 90.00°
Space group P4/mmm (No. 123)
Inequivalent atoms, fractional coordinates:
Cd 0.0000 0.0000 0.0000
Pd 0.5000 0.5000 0.5000
S 0.5000 0.5000 0.0000
N 0.0000 0.5000 0.5000



[12]
Material: Sr2CdPdN
Method: DFT, GGA-PBE
State: relaxed

Results
VASP energy, eV for the cell shown: -19.65

Cell: 5.4155 5.4155 4.0600 Å, 90.00 90.00 90.00°
Space group P4/mmm (No. 123)
Inequivalent atoms, fractional coordinates:
Sr 0.0000 0.5000 0.0000
Cd 0.0000 0.0000 0.5000
Pd 0.5000 0.5000 0.5000
N 0.5000 0.5000 0.0000



[13]
Material: CdTe2PdN
Method: DFT, GGA-PBE
State: relaxed

Results
VASP energy, eV for the cell shown: -18.03

Cell: 5.6564 5.6564 3.7049 Å, 90.00 90.00 90.00°
Space group P4/mmm (No. 123)
Inequivalent atoms, fractional coordinates:
Cd 0.0000 0.0000 0.0000
Te 0.0000 0.5000 0.5000
Pd 0.5000 0.5000 0.5000
N 0.5000 0.5000 0.0000



[14]
Material: CdTe2PdN
Method: DFT, GGA-PBE
State: relaxed

Results
VASP energy, eV for the cell shown: -14.73

Cell: 5.6912 5.6912 3.9958 Å, 90.00 90.00 90.00°
Space group P4/mmm (No. 123)
Inequivalent atoms, fractional coordinates:
Cd 0.0000 0.0000 0.0000
Te 0.0000 0.5000 0.0000
Pd 0.5000 0.5000 0.5000
N 0.0000 0.0000 0.5000



[15]
Material: CdTePdN2
Method: DFT, GGA-PBE
State: relaxed

Results
VASP energy, eV for the cell shown: -17.36

Cell: 4.1612 4.1612 6.3287 Å, 90.00 90.00 90.00°
Space group P4/mmm (No. 123)
Inequivalent atoms, fractional coordinates:
Cd 0.0000 0.0000 0.0000
Te 0.0000 0.0000 0.5000
Pd 0.5000 0.5000 0.5000
N 0.0000 0.5000 0.0000



[16]
Material: CdTePdN2
Method: DFT, GGA-PBE
State: relaxed

Results
VASP energy, eV for the cell shown: -19.74

Cell: 4.1052 4.1052 5.8483 Å, 90.00 90.00 90.00°
Space group P4/mmm (No. 123)
Inequivalent atoms, fractional coordinates:
Cd 0.0000 0.0000 0.0000
Te 0.5000 0.5000 0.0000
Pd 0.5000 0.5000 0.5000
N 0.0000 0.5000 0.5000



[17]
Material: ThCdPdN
Method: DFT, GGA-PBE
State: relaxed

Results
VASP energy, eV for the cell shown: -51.10

Cell: 4.2193 4.2193 8.9688 Å, 90.00 90.00 90.00°
Space group P4/nmm (No. 129, origin choice 2)
Inequivalent atoms, fractional coordinates:
Th 0.2500 0.2500 0.1223
Cd 0.2500 0.7500 0.5000
Pd 0.2500 0.2500 0.7024
N 0.2500 0.7500 0.0000



[18]
Material: Pm2CdN
Method: DFT, GGA-PBE
State: relaxed

Results
VASP energy, eV for the cell shown: -20.70

Cell: 3.5532 3.5532 8.5675 Å, 90.00 90.00 120.00°
Space group P-6m2 (No. 187)
Inequivalent atoms, fractional coordinates:
Pm 0.0000 0.0000 0.1786
Cd 0.3333 0.6667 0.5000
N 0.6667 0.3333 0.0000



[19]
Material: Pm2CdN
Method: DFT, GGA-PBE
State: relaxed

Results
VASP energy, eV for the cell shown: -65.66

Cell: 3.6265 3.6265 24.6596 Å, 90.00 90.00 120.00°
Space group R-3m (No. 166, hexagonal axes)
Inequivalent atoms, fractional coordinates:
Pm 0.0000 0.0000 0.2229
Cd 0.0000 0.0000 0.0000
N 0.0000 0.0000 0.5000



[20]
Material: Pm4Cd2N
Method: DFT, GGA-PBE
State: relaxed

Results
VASP energy, eV for the cell shown: -62.14

Cell: 5.1124 24.8544 3.3696 Å, 90.00 90.00 90.00°
Space group Cmmm (No. 65)
Inequivalent atoms, fractional coordinates:
Pm 0.0000 0.0661 0.0000
Pm 0.0000 0.2018 0.5000
Cd 0.0000 0.3425 0.0000
N 0.0000 0.0000 0.5000



[21]
Material: Pm2CdN
Method: DFT, GGA-PBE
State: relaxed

Results
VASP energy, eV for the cell shown: -88.98

Cell: 3.5559 19.7661 5.1015 Å, 90.00 90.00 90.00°
Space group Cmcm (No. 63)
Inequivalent atoms, fractional coordinates:
Pm 0.0000 0.1123 0.2500
Pm 0.0000 0.2889 0.2500
Cd 0.0000 0.4587 0.2500
N 0.0000 0.3005 0.7500



[22]
Material: Pm4Cd2N
Method: DFT, GGA-PBE
State: relaxed

Results
VASP energy, eV for the cell shown: -65.67

Cell: 5.0349 5.0349 15.1975 Å, 90.00 90.00 90.00°
Space group I4/mmm (No. 139)
Inequivalent atoms, fractional coordinates:
Pm 0.0000 0.0000 0.1628
Pm 0.0000 0.5000 0.0000
Cd 0.0000 0.0000 0.3691
N 0.0000 0.0000 0.0000



[23]
Material: Pm2CdN
Method: DFT, GGA-PBE
State: relaxed

Results
VASP energy, eV for the cell shown: -20.25

Cell: 3.1578 3.1578 8.3853 Å, 90.00 90.00 90.00°
Space group P4/mmm (No. 123)
Inequivalent atoms, fractional coordinates:
Pm 0.0000 0.0000 0.1759
Cd 0.5000 0.5000 0.5000
N 0.5000 0.5000 0.0000



[24]
Material: Pm5Cd2N2
Method: DFT, GGA-PBE
State: relaxed

Results
VASP energy, eV for the cell shown: -193.10

Cell: 18.6916 7.2626 7.1037 Å, 90.00 90.00 90.00°
Space group Ima2 (No. 46)
Inequivalent atoms, fractional coordinates:
Pm 0.0100 0.2459 0.0000
Pm 0.1373 0.5419 0.7663
Pm 0.2500 0.1503 0.8955
Cd 0.1074 0.5125 0.2430
N 0.0000 0.0000 0.2507
N 0.2500 0.0767 0.2170



[25]
Material: Pm2PrCdN
Method: DFT, GGA-PBE
State: relaxed

Results
VASP energy, eV for the cell shown: -27.08

Cell: 4.9954 4.9954 5.1003 Å, 90.00 90.00 90.00°
Space group P4/mmm (No. 123)
Inequivalent atoms, fractional coordinates:
Pm 0.0000 0.5000 0.0000
Pr 0.0000 0.0000 0.5000
Cd 0.5000 0.5000 0.5000
N 0.0000 0.0000 0.0000



[26]
Material: PmPr2CdN
Method: DFT, GGA-PBE
State: relaxed

Results
VASP energy, eV for the cell shown: -27.00

Cell: 5.1004 5.1004 4.9837 Å, 90.00 90.00 90.00°
Space group P4/mmm (No. 123)
Inequivalent atoms, fractional coordinates:
Pm 0.0000 0.0000 0.0000
Pr 0.0000 0.5000 0.5000
Cd 0.5000 0.5000 0.0000
N 0.0000 0.0000 0.5000